Compound: Be2TcPd2
Source: the Alexandria database
Functional: PBE
Structure: optimized geometry

Geometry as POSCAR:
```
Be2TcPd2
1.0
6.685 0.000 0.000
0.000 6.685 0.000
0.000 0.000 2.706
Be Tc Pd
4 2 4
Direct
0.134 0.366 0.000
0.366 0.866 0.000
0.634 0.134 0.000
0.866 0.634 0.000
0.000 0.000 0.000
0.500 0.500 0.000
0.163 0.663 0.500
0.337 0.163 0.500
0.663 0.837 0.500
0.837 0.337 0.500
```

Calculated values
Electronic total energy (eV per atom): -5.902
Crystal system: tetragonal

=====

Compound: PmNiH4
Source: the Alexandria database
Functional: PBE
Structure: optimized geometry

Geometry as POSCAR:
```
PmNiH4
1.0
2.443 -4.462 0.000
2.443 4.462 0.000
-1.435 0.000 5.866
Pm Ni H
2 2 8
Direct
0.149 0.851 0.750
0.851 0.149 0.250
0.194 0.806 0.250
0.806 0.194 0.750
0.104 0.270 0.643
0.270 0.104 0.143
0.313 0.670 0.072
0.330 0.687 0.428
0.670 0.313 0.572
0.687 0.330 0.928
0.730 0.896 0.857
0.896 0.730 0.357
```

Calculated values
Electronic total energy (eV per atom): -4.341
Crystal system: monoclinic

=====

Compound: Ta2CdSi
Source: the Alexandria database
Functional: PBE
Structure: optimized geometry

Geometry as POSCAR:
```
Ta2CdSi
1.0
-2.027 2.027 4.232
2.027 -2.027 4.232
2.027 2.027 -4.232
Ta Cd Si
2 1 1
Direct
0.250 0.750 0.500
0.750 0.250 0.500
0.000 0.000 0.000
0.500 0.500 0.000
```

Calculated values
Raw formation energy (kJ per mole of atoms): 19.1
Crystal system: tetragonal

=====

Compound: PmTmGa4
Source: the Alexandria database
Functional: PBE
Structure: optimized geometry

Geometry as POSCAR:
```
PmTmGa4
1.0
0.000 3.916 3.916
3.916 0.000 3.916
3.916 3.916 0.000
Pm Tm Ga
1 1 4
Direct
0.000 0.000 0.000
0.750 0.750 0.750
0.375 0.375 0.375
0.375 0.375 0.875
0.375 0.875 0.375
0.875 0.375 0.375
```

Calculated values
Electronic total energy (eV per atom): -4.092
Crystal system: cubic

=====

Compound: BeIn4Sb
Source: the Alexandria database
Functional: PBE
Structure: optimized geometry

Geometry as POSCAR:
```
BeIn4Sb
1.0
0.000 4.333 4.333
4.333 0.000 4.333
4.333 4.333 0.000
Be In Sb
1 4 1
Direct
0.000 0.000 0.000
0.124 0.625 0.625
0.625 0.124 0.625
0.625 0.625 0.124
0.625 0.625 0.625
0.250 0.250 0.250
```

Calculated values
Raw formation energy (kJ per mole of atoms): 57.7
Crystal system: cubic

=====

Compound: Zr2MnCu
Source: the Alexandria database
Functional: PBE
Structure: optimized geometry

Geometry as POSCAR:
```
Zr2MnCu
1.0
1.512 0.873 9.395
-1.512 0.873 9.395
0.000 -1.746 9.395
Zr Mn Cu
2 1 1
Direct
0.000 0.000 0.000
0.232 0.232 0.232
0.482 0.482 0.482
0.747 0.747 0.747
```

Calculated values
Electronic total energy (eV per atom): -7.355
Crystal system: trigonal

=====

Compound: CsSm4Te6
Source: the Alexandria database
Functional: PBE
Structure: optimized geometry

Geometry as POSCAR:
```
CsSm4Te6
1.0
2.267 -7.501 0.000
2.267 7.501 0.000
0.000 0.000 23.900
Cs Sm Te
2 8 12
Direct
0.163 0.837 0.750
0.837 0.163 0.250
0.094 0.906 0.129
0.094 0.906 0.371
0.366 0.634 0.039
0.366 0.634 0.461
0.634 0.366 0.539
0.634 0.366 0.961
0.906 0.094 0.629
0.906 0.094 0.871
0.000 0.000 0.000
0.000 0.000 0.500
0.140 0.860 0.250
0.270 0.730 0.582
0.270 0.730 0.918
0.460 0.540 0.151
0.460 0.540 0.349
0.540 0.460 0.651
0.540 0.460 0.849
0.730 0.270 0.082
0.730 0.270 0.418
0.860 0.140 0.750
```

Calculated values
Raw formation energy (kJ per mole of atoms): -132.6
Crystal system: orthorhombic

=====

Compound: Sc2MoPt
Source: the Alexandria database
Functional: PBE
Structure: optimized geometry

Geometry as POSCAR:
```
Sc2MoPt
1.0
0.000 3.280 3.280
3.280 0.000 3.280
3.280 3.280 0.000
Sc Mo Pt
2 1 1
Direct
0.000 0.000 0.000
0.250 0.250 0.250
0.750 0.750 0.750
0.500 0.500 0.500
```

Calculated values
Electronic total energy (eV per atom): -7.566
Crystal system: cubic

=====

Compound: ReAu2Br
Source: the Alexandria database
Functional: PBE
Structure: optimized geometry

Geometry as POSCAR:
```
ReAu2Br
1.0
2.923 0.000 0.000
0.000 4.800 0.000
0.000 0.000 5.262
Re Au Br
1 2 1
Direct
0.000 0.000 0.000
0.000 0.500 0.500
0.500 0.000 0.500
0.500 0.500 0.000
```

Calculated values
Raw formation energy (kJ per mole of atoms): 97.9
Crystal system: orthorhombic

=====

Compound: Tm8PuPb6
Source: the Alexandria database
Functional: PBE
Structure: optimized geometry

Geometry as POSCAR:
```
Tm8PuPb6
1.0
4.531 2.616 6.504
-4.531 2.616 6.504
0.000 -5.232 6.504
Tm Pu Pb
8 1 6
Direct
0.079 0.716 0.393
0.167 0.167 0.167
0.284 0.607 0.921
0.393 0.079 0.716
0.607 0.921 0.284
0.716 0.393 0.079
0.833 0.833 0.833
0.921 0.284 0.607
0.500 0.500 0.500
0.082 0.431 0.776
0.224 0.918 0.569
0.431 0.776 0.082
0.569 0.224 0.918
0.776 0.082 0.431
0.918 0.569 0.224
```

Calculated values
Electronic total energy (eV per atom): -5.070
Crystal system: trigonal

=====

Compound: ScCdOs
Source: the Alexandria database
Functional: PBE
Structure: optimized geometry

Geometry as POSCAR:
```
ScCdOs
1.0
0.000 3.196 3.196
3.196 0.000 3.196
3.196 3.196 0.000
Sc Cd Os
1 1 1
Direct
0.000 0.000 0.000
0.500 0.500 0.500
0.750 0.750 0.750
```

Calculated values
Electronic total energy (eV per atom): -5.798
Crystal system: cubic

=====

Compound: SbSe
Source: the Alexandria database
Functional: PBE
Structure: optimized geometry

Geometry as POSCAR:
```
SbSe
1.0
0.000 3.763 13.022
3.101 0.000 13.022
3.101 3.763 0.000
Sb Se
4 4
Direct
0.116 0.634 0.116
0.366 0.884 0.366
0.634 0.116 0.634
0.884 0.366 0.884
0.051 0.051 0.199
0.199 0.199 0.051
0.801 0.801 0.949
0.949 0.949 0.801
```

Calculated values
Raw formation energy (kJ per mole of atoms): -7.6
Crystal system: orthorhombic